Record 1
A relaxed CeYIn2 crystal. Source: the Alexandria database, functional GGA-PBE.

The structure in POSCAR format:
```
CeYIn2
1.0
5.399 0.000 0.000
2.699 4.675 0.000
2.699 1.558 4.408
Y Ce In
1 1 2
Direct
0.500 0.500 0.500
0.000 0.000 0.000
0.750 0.750 0.750
0.250 0.250 0.250
```

## Properties
Calculated total energy ... -4.89 eV per atom
Formation energy ... -418 meV per atom
Density ... 6.85 g/cm³
Magnetic moment ... 0.2536 μB/atom
E above lowest polymorph ... 0.010 eV/atom

=====

Record 2
A relaxed DyZnPb crystal. Source: the Alexandria database, functional GGA-PBE.

The structure in POSCAR format:
```
DyZnPb
1.0
3.553 0.000 0.000
0.000 3.553 0.000
-1.777 -1.777 5.911
Pb Zn Dy
1 1 1
Direct
0.933 0.933 0.867
0.281 0.281 0.563
0.635 0.635 0.271
```

## Properties
Calculated total energy ... -3.40 eV per atom
Formation energy ... -209 meV per atom
Density ... 9.68 g/cm³
Magnetic moment ... 0.0540 μB/atom

=====

Record 3
A relaxed Rb3ScO crystal. Source: the Alexandria database, functional GGA-PBE.

The structure in POSCAR format:
```
Rb3ScO
1.0
5.872 0.000 0.000
0.000 5.872 0.000
0.000 0.000 5.872
Sc O Rb
1 1 3
Direct
0.500 0.500 0.500
0.000 0.000 0.000
0.000 0.500 0.000
0.000 0.000 0.500
0.500 0.000 0.000
```

## Properties
Calculated total energy ... -2.78 eV per atom
Density ... 2.60 g/cm³
Magnetic moment ... 0.3936 μB/atom
E above lowest polymorph ... 0.000 eV/atom
Raw formation energy ... 1.3 kcal/mol of atoms

=====

Record 4
A relaxed NbAs2SeN crystal. Source: the Alexandria database, functional GGA-PBE.

The structure in POSCAR format:
```
NbAs2SeN
1.0
4.274 0.000 0.000
0.000 4.392 0.000
0.000 0.000 4.274
Nb As Se N
1 2 1 1
Direct
0.500 0.500 0.500
0.000 0.000 0.500
0.500 0.000 0.000
0.000 0.500 0.000
0.000 0.000 0.000
```

## Properties
Calculated total energy ... -5.57 eV per atom
Density ... 6.95 g/cm³
Magnetic moment ... 0.1394 μB/atom
E above lowest polymorph ... 0.000 eV/atom
Raw formation energy ... 15.4 kcal/mol of atoms

=====

Record 5
A relaxed Ba3CeAu2O6 crystal. Source: the Alexandria database, functional GGA-PBE.

The structure in POSCAR format:
```
Ba3CeAu2O6
1.0
6.216 0.000 0.000
-3.108 5.383 0.000
0.000 0.000 7.033
Ba Ce Au O
3 1 2 6
Direct
0.333 0.667 0.633
0.667 0.333 0.367
0.000 0.000 0.000
0.000 0.000 0.500
0.667 0.333 0.875
0.333 0.667 0.125
0.673 0.837 0.312
0.163 0.327 0.312
0.163 0.837 0.312
0.837 0.673 0.688
0.327 0.163 0.688
0.837 0.163 0.688
```

## Properties
Calculated total energy ... -5.88 eV per atom
Density ... 7.35 g/cm³
Magnetic moment ... 0.0000 μB/atom
Raw formation energy ... -43.4 kcal/mol of atoms

=====

Record 6
A relaxed Al2CrSe crystal. Source: the Alexandria database, functional GGA-PBE.

The structure in POSCAR format:
```
Al2CrSe
1.0
-5.714 -0.575 -0.160
-4.601 -1.727 -2.977
0.376 -3.759 1.685
Cr Al Se
1 2 1
Direct
0.750 0.750 0.750
0.030 0.030 0.998
0.470 0.470 0.502
0.250 0.250 0.250
```

## Properties
Calculated total energy ... -5.05 eV per atom
Density ... 4.16 g/cm³
Magnetic moment ... 0.9114 μB/atom
E above lowest polymorph ... 0.129 eV/atom
Raw formation energy ... 2.3 kcal/mol of atoms

=====

Record 7
A relaxed ZrCr2Tc crystal. Source: the Alexandria database, functional GGA-PBE.

The structure in POSCAR format:
```
ZrCr2Tc
1.0
-3.121 3.251 -5.288
0.666 -5.709 -3.902
-3.603 -2.099 -3.728
Cr Tc Zr
4 2 2
Direct
0.661 0.125 0.250
0.089 0.625 0.250
0.375 0.339 0.750
0.875 0.911 0.750
0.000 0.000 0.000
0.750 0.250 0.500
0.500 0.500 0.000
0.250 0.750 0.500
```

## Properties
Calculated total energy ... -8.95 eV per atom
Formation energy ... 595 meV per atom
Density ... 7.54 g/cm³
Magnetic moment ... 0.0004 μB/atom
E above lowest polymorph ... 0.529 eV/atom

=====

Record 8
A relaxed Li10Ca2Mg crystal. Source: the Alexandria database, functional GGA-PBE.

The structure in POSCAR format:
```
Li10Ca2Mg
1.0
6.181 0.000 0.000
0.000 6.330 0.000
0.000 0.000 19.852
Li Ca Mg
20 4 2
Direct
0.000 0.082 0.442
0.000 0.918 0.558
0.000 0.582 0.058
0.000 0.418 0.942
0.000 0.023 0.707
0.000 0.977 0.293
0.261 0.249 0.101
0.261 0.751 0.899
0.739 0.749 0.399
0.739 0.251 0.601
0.739 0.751 0.899
0.739 0.249 0.101
0.261 0.251 0.601
0.261 0.749 0.399
0.000 0.913 0.151
0.000 0.087 0.849
0.000 0.413 0.349
0.000 0.587 0.651
0.000 0.477 0.207
0.000 0.523 0.793
0.500 0.246 0.937
0.500 0.754 0.063
0.500 0.746 0.563
0.500 0.254 0.437
0.000 0.500 0.500
0.000 0.000 0.000
```

## Properties
Calculated total energy ... -1.73 eV per atom
Formation energy ... 168 meV per atom
Density ... 0.74 g/cm³
Magnetic moment ... 0.0000 μB/atom